Entry from the Alexandria database: a relaxed structure of Na3Pm3ScO8 (PBE-GGA).

```
data_Na3Pm3ScO8
_chemical_formula_sum 'Na9 Pm9 Sc3 O24'
_symmetry_space_group_name_H-M 'R -3 m'
_symmetry_Int_Tables_number 166
_symmetry_space_group_name_Hall '-R 3 2"'
_cell_length_a 6.9949
_cell_length_b 6.9949
_cell_length_c 16.6552
_cell_angle_alpha 90.00
_cell_angle_beta 90.00
_cell_angle_gamma 120.00
loop_
_atom_site_label
_atom_site_type_symbol
_atom_site_fract_x
_atom_site_fract_y
_atom_site_fract_z
Na1 Na 0.0000 0.5000 0.0000
Pm1 Pm 0.0000 0.5000 0.5000
Sc1 Sc 0.0000 0.0000 0.5000
O1 O 0.0000 0.0000 0.2390
O2 O 0.0278 0.5139 0.2334
```

Output
DOS(E_F), states/eV/cell: 35.10
Raw formation energy, eV per atom: -2.63
Final energy, eV/atom: -6.913